# Mn4CdCu3O12 PBE+U relaxed
# * DOS(E_F): 4.26 states/eV/f.u.
# * raw total energy: -6.19 eV/atom
data_Mn4CdCu3O12
_chemical_formula_sum 'Mn8 Cd2 Cu6 O24'
_symmetry_space_group_name_H-M 'I m -3'
_symmetry_Int_Tables_number 204
_symmetry_space_group_name_Hall '-I 2 2 3'
_cell_length_a 7.4070
_cell_length_b 7.4070
_cell_length_c 7.4070
_cell_angle_alpha 90.00
_cell_angle_beta 90.00
_cell_angle_gamma 90.00
loop_
_atom_site_label
_atom_site_type_symbol
_atom_site_fract_x
_atom_site_fract_y
_atom_site_fract_z
Mn1 Mn 0.2500 0.2500 0.2500
Cd1 Cd 0.0000 0.0000 0.0000
Cu1 Cu 0.0000 0.0000 0.5000
O1 O 0.0000 0.3117 0.1716